4
Lattice="4.9493 0.0000 0.0000 0.0000 4.9493 0.0000 0.0000 0.0000 3.6744" Properties=species:S:1:pos:R:3 comment="PBE-GGA LaPmIr2, relaxed" de_polymorph_ev_per_atom=0.084 energy_ev_per_cell=-29.72 vol_a3_per_cell=90.0 ef_ev_per_atom=-0.581 pbc="T T T"
La 0.0000 0.0000 0.0000
Pm 2.4747 2.4747 0.0000
Ir 0.0000 2.4747 1.8372
Ir 2.4747 0.0000 1.8372

12
Lattice="4.4482 0.0000 0.0000 -2.2241 3.8523 0.0000 0.0000 0.0000 24.6457" Properties=species:S:1:pos:R:3 comment="PBE-GGA AcCeTe2, relaxed" de_polymorph_ev_per_atom=0.040 energy_ev_per_cell=-65.58 vol_a3_per_cell=422.3 e_form_raw_ev_per_atom=-1.384 pbc="T T T"
Ac 0.0000 0.0000 0.0000
Ac 0.0000 2.5682 16.4305
Ac 2.2241 1.2841 8.2152
Ce 0.0000 0.0000 20.3649
Ce 0.0000 2.5682 12.1497
Ce 2.2241 1.2841 3.9344
Te 0.0000 0.0000 5.9509
Te 0.0000 0.0000 10.3175
Te 0.0000 2.5682 2.1023
Te 0.0000 2.5682 22.3814
Te 2.2241 1.2841 14.1662
Te 2.2241 1.2841 18.5327

10
Lattice="5.8242 -2.2562 0.0000 5.8242 2.2562 0.0000 -4.9612 0.0000 10.7046" Properties=species:S:1:pos:R:3 comment="PBE-GGA La2Sb2Rh, relaxed" de_polymorph_ev_per_atom=0.000 energy_ev_per_cell=-61.35 vol_a3_per_cell=281.3 e_form_raw_ev_per_atom=-1.045 pbc="T T T"
La -1.0869 0.0000 4.0959
La -0.5305 0.0000 9.1010
La 7.2176 0.0000 1.6036
La 7.7740 0.0000 6.6087
Sb -3.7221 0.0000 9.8954
Sb 2.1407 0.0000 3.9372
Sb 4.5464 0.0000 6.7674
Sb 10.4092 0.0000 0.8092
Rh 4.1348 0.0000 2.0677
Rh 2.5523 0.0000 8.6369

8
Lattice="2.9634 0.0000 0.0000 0.0000 4.3318 0.0000 0.0000 0.0000 8.9273" Properties=species:S:1:pos:R:3 comment="PBE-GGA CoRe2As, relaxed" energy_ev_per_cell=-70.56 vol_a3_per_cell=114.6 ef_ev_per_atom=0.343 pbc="T T T"
Co 0.0000 0.0000 0.0000
Co 1.4817 2.1659 4.4636
Re 0.0000 2.1659 1.9676
Re 0.0000 2.1659 6.9597
Re 1.4817 0.0000 2.4960
Re 1.4817 0.0000 6.4313
As 0.0000 0.0000 4.4636
As 1.4817 2.1659 0.0000